(1)
Compound: Yb2SnGe2
Source: Alexandria via LeMat-Bulk
Functional: PBE-GGA
Structure: optimized geometry

The value obtained for the formation energy is -0.64 eV/atom. The magnetization comes out at 0.8 Bohr magnetons per cell. Its density is 8.52 Mg/m³.

It has space group P4/mbm (No. 127), with a = 7.387 Å, b = 7.387 Å, c = 4.357 Å, α = 90.00°, β = 90.00° and γ = 90.00°. The inequivalent atoms are Yb at (0.176, 0.324, 0.000), Sn at (0.000, 0.000, 0.500) and Ge at (0.121, 0.621, 0.500).


(2)
Compound: NaAc3Se4
Source: Alexandria via LeMat-Bulk
Functional: PBE-GGA
Structure: optimized geometry

For the energy above the most stable polymorph in this dataset, the calculation gives 0 meV/atom. The magnetization comes out at 0.0 Bohr magnetons per cell. The calculation puts the energy relative to the elements, uncorrected at -14.5 eV/f.u. Its density is 6.84 Mg/m³.

It has space group Pm-3m (No. 221), with a = 6.280 Å, b = 6.280 Å, c = 6.280 Å, α = 90.00°, β = 90.00° and γ = 90.00°. The inequivalent atoms are Na at (0.000, 0.000, 0.000), Ac at (0.000, 0.500, 0.500), Se at (0.000, 0.000, 0.500) and Se at (0.500, 0.500, 0.500).


(3)
Compound: TbNd2PuSe5
Source: Alexandria via LeMat-Bulk
Functional: PBE-GGA
Structure: optimized geometry

The magnetization comes out at 6.5 Bohr magnetons per cell. The calculation puts the energy relative to the elements, uncorrected at -10.7 eV/f.u. Its density is 6.30 Mg/m³.

It has space group P4/mmm (No. 123), with a = 5.120 Å, b = 5.120 Å, c = 10.924 Å, α = 90.00°, β = 90.00° and γ = 90.00°. The inequivalent atoms are Tb at (0.000, 0.000, 0.000), Nd at (0.500, 0.500, 0.212), Pu at (0.000, 0.000, 0.500), Se at (0.000, 0.000, 0.252), Se at (0.000, 0.500, 0.000) and Se at (0.500, 0.500, 0.500).


Please write out number 2 again, unchanged.
Compound: NaAc3Se4
Source: Alexandria via LeMat-Bulk
Functional: PBE-GGA
Structure: optimized geometry

For the energy above the most stable polymorph in this dataset, the calculation gives 0 meV/atom. The magnetization comes out at 0.0 Bohr magnetons per cell. The calculation puts the energy relative to the elements, uncorrected at -14.5 eV/f.u. Its density is 6.84 Mg/m³.

It has space group Pm-3m (No. 221), with a = 6.280 Å, b = 6.280 Å, c = 6.280 Å, α = 90.00°, β = 90.00° and γ = 90.00°. The inequivalent atoms are Na at (0.000, 0.000, 0.000), Ac at (0.000, 0.500, 0.500), Se at (0.000, 0.000, 0.500) and Se at (0.500, 0.500, 0.500).


Which of these has the lowest density?
TbNd2PuSe5


Look up the density of the first one.
8.52 Mg/m³